VASP calculation (PBE) on crystalline Pm2YHg4 at its relaxed geometry.

Unit cell a=5.1544 b=5.1544 c=26.7283 alpha=90.00 beta=90.00 gamma=120.00
Space group R-3m (No. 166, hexagonal axes)
Symmetry-distinct sites (fractional):
Pm: 0.0000 0.0000 0.2439 x6
Y: 0.0000 0.0000 0.0000 x3
Hg: 0.0000 0.0000 0.1263 x6
Hg: 0.0000 0.0000 0.3718 x6

Calculated values
Density of states at the Fermi level (states/eV/atom): 0.768
Excess energy over the best structure of this formula in the dataset (meV/atom): 0.0
Crystal system: trigonal
Formation energy (eV/atom): -0.355